{"formula": "Tb6AlTc2", "functional": "PBE-GGA", "state": "optimized geometry", "dos_ef_per_ev_fu": 8.3, "final_energy_ev_per_atom": -5.96, "formation_energy_ev_per_atom": -0.1530, "lattice_angstrom": [[-4.714, 4.749, 5.229], [4.714, -4.749, 5.229], [4.714, 4.749, -5.229]], "species": ["Tb", "Tb", "Tb", "Tb", "Tb", "Tb", "Tb", "Tb", "Tb", "Tb", "Tb", "Tb", "Al", "Al", "Tc", "Tc", "Tc", "Tc"], "fractional_positions": [[0.019, 0.832, 0.187], [0.247, 0.548, 0.302], [0.247, 0.945, 0.698], [0.277, 0.314, 0.592], [0.277, 0.686, 0.963], [0.356, 0.168, 0.187], [0.644, 0.832, 0.813], [0.723, 0.314, 0.037], [0.723, 0.686, 0.408], [0.753, 0.055, 0.302], [0.753, 0.452, 0.698], [0.981, 0.168, 0.813], [0.000, 0.500, 0.500], [0.500, 0.000, 0.500], [0.000, 0.186, 0.186], [0.000, 0.814, 0.814], [0.386, 0.386, 0.000], [0.614, 0.614, 0.000]]}



{"formula": "Tb2AlTc3", "functional": "PBE-GGA", "state": "optimized geometry", "dos_ef_per_ev_fu": 4.4, "final_energy_ev_per_atom": -7.67, "formation_energy_ev_per_atom": -0.3182, "lattice_angstrom": [[2.677, 1.545, 4.522], [-2.677, 1.545, 4.522], [0.000, -3.091, 4.522]], "species": ["Tb", "Tb", "Al", "Tc", "Tc", "Tc"], "fractional_positions": [[0.122, 0.122, 0.122], [0.878, 0.878, 0.878], [0.500, 0.500, 0.500], [0.000, 0.500, 0.500], [0.500, 0.000, 0.500], [0.500, 0.500, 0.000]]}